VASP calculation (PBE) on a relaxed Er2TmSc crystal.

Its distance to the lowest polymorph of the same formula is 6.3 kJ/mol of formula units. The calculation puts the volume at 28.81 Å³/atom.

The structure belongs to space group P4/mmm (No. 123); the cell edges are 4.870, 4.870 and 4.859 Å and the angles 90.00°, 90.00° and 90.00°. The inequivalent atoms are Er at (0.000, 0.500, 0.000), Tm at (0.000, 0.000, 0.500) and Sc at (0.500, 0.500, 0.500).